(1)
The following is a PBE calculation of a relaxed structure of CoPb, from Alexandria.

The structure in POSCAR format:
```
CoPb
1.0
-2.8871 -3.6555 -0.2829
2.7090 -1.8842 -3.2999
1.7524 -1.5645 2.3319
Co Pb
2 2
Direct
0.2500 0.2500 0.5000
0.7500 0.7500 0.5000
0.2500 0.7500 0.0000
0.7500 0.2500 0.0000
```

Results
**Density of states at the Fermi level**: 1.09 states/eV/f.u.
**Calculated volume**: 72.1 Å³ per cell
**E_tot**: -4.832 eV per atom

=====

(2)
The following is a PBE calculation of a relaxed structure of Ho3Th5P8, from Alexandria.

The structure in POSCAR format:
```
Ho3Th5P8
1.0
7.1049 0.0000 4.0697
2.3869 6.6920 4.0697
0.0428 0.0302 8.1620
Th Ho P
5 3 8
Direct
0.5000 0.5000 0.0000
0.5000 0.0000 0.0000
0.5000 0.5000 0.5000
0.0000 0.5000 0.0000
0.0000 0.0000 0.0000
0.5000 0.0000 0.5000
0.0000 0.0000 0.5000
0.0000 0.5000 0.5000
0.2500 0.2500 0.7440
0.7500 0.7500 0.2560
0.7561 0.2500 0.7440
0.7526 0.7526 0.7421
0.2474 0.2474 0.2579
0.7500 0.2439 0.2560
0.2439 0.7500 0.2560
0.2500 0.7561 0.7440
```

Results
**Density of states at the Fermi level**: 7.76 states/eV/f.u.
**Calculated volume**: 386.3 Å³ per cell
**E_tot**: -7.451 eV per atom

=====

(3)
The following is a PBE calculation of a relaxed structure of TlInSe2, from Alexandria.

The structure in POSCAR format:
```
TlInSe2
1.0
-2.1303 -3.2273 1.4997
0.3966 -1.9523 -3.6378
5.4913 -2.6785 2.0362
Se In Tl
2 1 1
Direct
0.0000 0.0000 0.8601
0.5000 0.5000 0.3505
0.5000 0.5000 0.9088
0.0000 0.0000 0.3805
```

Results
**Density of states at the Fermi level**: 1.49 states/eV/f.u.
**Calculated volume**: 110.8 Å³ per cell
**Formation energy (no corrections)**: -345 meV/atom

=====

(4)
The following is a PBE calculation of a relaxed structure of Pr4In5Hg2, from Alexandria.

The structure in POSCAR format:
```
Pr4In5Hg2
1.0
-0.1048 -2.5380 -2.6488
8.0907 0.1900 -0.5021
-0.2116 -7.5419 7.2347
Hg Pr In
2 4 5
Direct
0.0000 0.9373 0.3630
0.0000 0.0627 0.6370
0.5000 0.2728 0.4425
0.5000 0.8271 0.1155
0.5000 0.7272 0.5575
0.5000 0.1729 0.8845
0.0000 0.5000 0.0000
0.0000 0.1911 0.1624
0.0000 0.8089 0.8376
0.0000 0.5560 0.2968
0.0000 0.4440 0.7032
```

Results
**Density of states at the Fermi level**: 10.29 states/eV/f.u.
**Calculated volume**: 310.1 Å³ per cell
**E_tot**: -3.466 eV per atom

=====

(5)
The following is a PBE calculation of a relaxed structure of U2SbS6, from Alexandria.

The structure in POSCAR format:
```
U2SbS6
1.0
-1.5776 -0.3163 -6.0474
-5.5758 -2.3620 1.5781
-4.6167 11.3076 0.6128
S U Sb
12 4 2
Direct
0.3040 0.3040 0.1713
0.6960 0.6960 0.1713
0.1960 0.8040 0.3287
0.8113 0.1887 0.0000
0.3040 0.3040 0.8287
0.1887 0.8113 0.0000
0.1960 0.8040 0.6713
0.6960 0.6960 0.8287
0.8040 0.1960 0.6713
0.3113 0.3113 0.5000
0.6887 0.6887 0.5000
0.8040 0.1960 0.3287
0.0000 0.0000 0.1673
0.5000 0.5000 0.6673
0.0000 0.0000 0.8327
0.5000 0.5000 0.3327
0.0000 0.0000 0.5000
0.5000 0.5000 0.0000
```

Results
**Density of states at the Fermi level**: 14.42 states/eV/f.u.
**Calculated volume**: 478.9 Å³ per cell
**Formation energy (no corrections)**: -934 meV/atom
**Distance to the lowest polymorph of the same formula**: 59 meV per atom

=====

(6)
The following is a PBE calculation of a relaxed structure of CsRbPuO3, from Alexandria.

The structure in POSCAR format:
```
CsRbPuO3
1.0
6.1372 -0.0338 0.0000
1.2701 6.9241 0.0000
0.6351 3.4621 7.0068
Cs Pu O Rb
2 2 6 2
Direct
0.2500 0.5915 0.8170
0.7500 0.4085 0.1830
0.7500 0.0557 0.8885
0.2500 0.9443 0.1115
0.5122 0.1359 0.0803
0.0122 0.2162 0.9197
0.9878 0.7838 0.0803
0.2500 0.7966 0.4068
0.7500 0.2034 0.5932
0.4878 0.8641 0.9197
0.2500 0.2256 0.5488
0.7500 0.7744 0.4512
```

Results
**Density of states at the Fermi level**: 5.41 states/eV/f.u.
**Calculated volume**: 298.1 Å³ per cell
**Formation energy (no corrections)**: -2130 meV/atom

=====

(7)
The following is a PBE calculation of a relaxed structure of Ca2TaAs, from Alexandria.

The structure in POSCAR format:
```
Ca2TaAs
1.0
4.9916 0.0000 0.0000
2.4958 4.3228 0.0000
2.4958 1.4409 4.0756
Ca Ta As
2 1 1
Direct
0.0000 0.0000 0.0000
0.2500 0.2500 0.2500
0.7500 0.7500 0.7500
0.5000 0.5000 0.5000
```

Results
**Density of states at the Fermi level**: 0.87 states/eV/f.u.
**Calculated volume**: 87.9 Å³ per cell
**E_tot**: -4.689 eV per atom

=====

(8)
The following is a PBE calculation of a relaxed structure of BaEr4Cd5, from Alexandria.

The structure in POSCAR format:
```
BaEr4Cd5
1.0
-1.2419 2.2973 2.7359
-3.5446 -0.4311 -1.2470
-2.2758 -15.1860 11.7187
Ba Er Cd
1 4 5
Direct
0.0000 0.0000 0.0000
0.0000 0.0000 0.2183
0.0000 0.0000 0.7817
0.0000 0.0000 0.4066
0.0000 0.0000 0.5934
0.5000 0.5000 0.8707
0.5000 0.5000 0.1293
0.5000 0.5000 0.5000
0.5000 0.5000 0.6879
0.5000 0.5000 0.3121
```

Results
**Density of states at the Fermi level**: 8.16 states/eV/f.u.
**Calculated volume**: 276.3 Å³ per cell
**E_tot**: -2.774 eV per atom

=====

(9)
The following is a PBE calculation of a relaxed structure of Sm3Y4Ho4, from Alexandria.

The structure in POSCAR format:
```
Sm3Y4Ho4
1.0
-3.0944 0.9588 4.6747
-2.7005 -4.2482 -4.3761
4.8239 -8.0583 4.8460
Ho Sm Y
4 3 4
Direct
0.7565 0.5130 0.2115
0.9577 0.9154 0.0000
0.8903 0.7806 0.5000
0.7565 0.5130 0.7885
0.4039 0.8077 0.7024
0.4039 0.8077 0.2976
0.2556 0.5111 0.0000
0.5542 0.1085 0.0000
0.1003 0.2006 0.7098
0.6194 0.2388 0.5000
0.1003 0.2006 0.2902
```

Results
**Density of states at the Fermi level**: 17.64 states/eV/f.u.
**Calculated volume**: 362.7 Å³ per cell
**Distance to the lowest polymorph of the same formula**: 0 meV per atom

=====

(10)
The following is a PBE calculation of a relaxed structure of YCd2Br, from Alexandria.

The structure in POSCAR format:
```
YCd2Br
1.0
6.3192 0.0163 0.0065
2.7547 5.6872 -0.0065
-3.8153 -3.9999 3.0622
Cd Y Br
2 1 1
Direct
0.0040 0.0040 0.0000
0.2590 0.7590 0.5000
0.5148 0.5148 0.0000
0.7222 0.2222 0.5000
```

Results
**Density of states at the Fermi level**: 1.77 states/eV/f.u.
**Calculated volume**: 109.8 Å³ per cell
**Formation energy (no corrections)**: -434 meV/atom
**Distance to the lowest polymorph of the same formula**: 95 meV per atom

=====

(11)
The following is a PBE calculation of a relaxed structure of CuSbAs3, from Alexandria.

The structure in POSCAR format:
```
CuSbAs3
1.0
4.7658 0.0000 0.0000
0.0000 4.7658 0.0000
0.0000 0.0000 4.7658
As Cu Sb
3 1 1
Direct
0.5000 0.0000 0.0000
0.0000 0.0000 0.5000
0.0000 0.5000 0.0000
0.0000 0.0000 0.0000
0.5000 0.5000 0.5000
```

Results
**Density of states at the Fermi level**: 4.56 states/eV/f.u.
**Calculated volume**: 108.2 Å³ per cell
**Formation energy (no corrections)**: 547 meV/atom
**Distance to the lowest polymorph of the same formula**: 0 meV per atom

=====

(12)
The following is a PBE calculation of a relaxed structure of Tm3ThPb3, from Alexandria.

The structure in POSCAR format:
```
Tm3ThPb3
1.0
-1.1827 -6.4922 6.3446
-4.9487 -7.4521 -1.9438
3.0934 -7.5380 -0.5325
Tm Pb Th
6 6 2
Direct
0.0836 0.3367 0.7485
0.3367 0.8312 0.7485
0.9164 0.6633 0.2515
0.1688 0.9164 0.2515
0.8312 0.0836 0.7485
0.6633 0.1688 0.2515
0.9115 0.3017 0.2571
0.4703 0.0885 0.7429
0.3017 0.5297 0.2571
0.0885 0.6983 0.7429
0.6983 0.4703 0.7429
0.5297 0.9115 0.2571
0.6673 0.6673 0.9980
0.3327 0.3327 0.0020
```

Results
**Density of states at the Fermi level**: 5.86 states/eV/f.u.
**Calculated volume**: 451.7 Å³ per cell
**E_tot**: -4.790 eV per atom